Computed, not measured: a relaxed structure of ZrPaPO at the PBE level of DFT.

Cell lengths 4.1905, 4.1905, 8.0674 Å; angles 90.00, 90.00, 90.00 degrees
Element x y z (fractional)
Zr 0.2500 0.2500 0.1019
Zr 0.7500 0.7500 0.8981
Pa 0.2500 0.7500 0.5000
Pa 0.7500 0.2500 0.5000
P 0.2500 0.2500 0.7421
P 0.7500 0.7500 0.2579
O 0.2500 0.7500 0.0000
O 0.7500 0.2500 0.0000

Values from the calculation:
Distance to the lowest polymorph of the same formula: 0.643 eV per atom
SG: No. 129
Energy: -7.95 eV/atom
Magnetic moment: 0.45 μB per formula unit